Entry from the Alexandria database: La4Ce3PrS8 after structural relaxation (PBE).

Results
Formation energy without anion corrections, eV per atom: -2.101
Symmetry: No. 166
DFT total energy, eV/atom: -6.81

Unit cell a=8.1976 b=8.2118 c=8.1987 alpha=119.95 beta=120.00 gamma=90.00
With the nearest neighbours (Å) after each atom.
Sites, in units of the cell vectors:
S  0.2552  0.2567  0.0059  2 Ce 2.87, 1 Pr 2.89, 3 La 2.91-2.94
S  0.2492  0.7433  0.9941  2 Ce 2.87, 1 Pr 2.89, 3 La 2.91-2.94
S  0.2492  0.7433  0.4985  2 Ce 2.87, 1 Pr 2.89, 3 La 2.91-2.94
S  0.2528  0.2585  0.5056  3 Ce 2.87, 3 La 2.93
S  0.7472  0.7415  0.4944  3 Ce 2.87, 3 La 2.93
S  0.7508  0.2567  0.0059  2 Ce 2.87, 1 Pr 2.89, 3 La 2.91-2.94
S  0.7448  0.7433  0.9941  2 Ce 2.87, 1 Pr 2.89, 3 La 2.91-2.94
S  0.7508  0.2567  0.5015  2 Ce 2.87, 1 Pr 2.89, 3 La 2.91-2.94
La  0.5000  0.0000  0.0000  6 S 2.91
La  0.5000  0.0000  0.5000  6 S 2.93-2.94
La  0.0000  0.0000  0.0000  6 S 2.93-2.94
La  0.0000  0.0000  0.5000  6 S 2.93-2.94
Ce  0.5000  0.5000  0.5000  6 S 2.87
Ce  0.0000  0.5000  0.5000  6 S 2.87
Ce  0.5000  0.5000  0.0000  6 S 2.87
Pr  0.0000  0.5000  0.0000  6 S 2.89



Entry from the Alexandria database: NaCaBr2 after structural relaxation (PBE).

Results
Formation energy without anion corrections, eV per atom: -1.391
Symmetry: No. 160
Energy above the lowest structure with this stoichiometry, meV per atom: 52
DFT total energy, eV/atom: -3.06

Unit cell a=4.0796 b=4.0796 c=8.2503 alpha=75.69 beta=75.69 gamma=60.00
With the nearest neighbours (Å) after each atom.
Sites, in units of the cell vectors:
Ca  0.4995  0.4995  0.5014  6 Br 3.15
Na  0.6679  0.6679  0.9964  6 Br 2.98-3.02
Br  0.2547  0.2547  0.2359  3 Na 3.02, 3 Ca 3.15
Br  0.0779  0.0779  0.7663  3 Na 2.98, 3 Ca 3.15



Entry from the Alexandria database: HfFe4Hg after structural relaxation (PBE).

Results
Symmetry: No. 216
DFT total energy, eV/atom: -7.41

Unit cell a=4.9337 b=4.9337 c=4.9337 alpha=60.00 beta=60.00 gamma=60.00
With the nearest neighbours (Å) after each atom.
Sites, in units of the cell vectors:
Hg  0.0000  0.0000  0.0000  12 Fe 2.89, 4 Hf 3.02
Fe  0.1251  0.6250  0.6250  6 Fe 2.47
Fe  0.6250  0.1251  0.6250  6 Fe 2.47
Fe  0.6250  0.6250  0.6250  6 Fe 2.47
Fe  0.6250  0.6250  0.1251  6 Fe 2.47
Hf  0.2500  0.2500  0.2500  12 Fe 2.89, 4 Hg 3.02



Entry from the Alexandria database: AlAgBr4 after structural relaxation (PBE).

Results
Formation energy without anion corrections, eV per atom: -0.885
Symmetry: No. 112
Energy above the lowest structure with this stoichiometry, meV per atom: 0
DFT total energy, eV/atom: -3.10

Unit cell a=6.3886 b=6.3886 c=10.7753 alpha=90.00 beta=90.00 gamma=90.00
With the nearest neighbours (Å) after each atom.
Sites, in units of the cell vectors:
Br  0.2230  0.2941  0.3709  1 Al 2.34
Br  0.7770  0.2941  0.1291  1 Al 2.34
Br  0.2941  0.7770  0.6291  1 Al 2.34
Br  0.2941  0.2230  0.8709  1 Al 2.34
Br  0.7770  0.7059  0.3709  1 Al 2.34
Br  0.7059  0.2230  0.6291  1 Al 2.34
Br  0.7059  0.7770  0.8709  1 Al 2.34
Br  0.2230  0.7059  0.1291  1 Al 2.34
Ag  0.0000  0.0000  0.0000  4 Br 2.74
Ag  0.0000  0.0000  0.5000  4 Br 2.74
Al  0.0000  0.5000  0.2500  4 Br 2.34
Al  0.5000  0.0000  0.7500  4 Br 2.34



Entry from the Alexandria database: TlCrRe2 after structural relaxation (PBE).

Results
Symmetry: No. 10
Energy above the lowest structure with this stoichiometry, meV per atom: 161
DFT total energy, eV/atom: -8.54

Unit cell a=3.8347 b=2.8440 c=6.6925 alpha=64.95 beta=90.00 gamma=90.00
With the nearest neighbours (Å) after each atom.
Sites, in units of the cell vectors:
Tl  0.5000  0.2500  0.2500  2 Tl 2.84, 8 Re 3.01-3.02, 2 Cr 3.03
Cr  0.5000  0.7500  0.7500  8 Re 2.66-2.67, 2 Cr 2.84
Re  0.0000  0.4502  0.5543  1 Re 2.37
Re  0.0000  0.0498  0.9457  1 Re 2.37



Entry from the Alexandria database: IrSNF2 after structural relaxation (PBE).

Results
Formation energy without anion corrections, eV per atom: 0.961
Symmetry: No. 123
Energy above the lowest structure with this stoichiometry, meV per atom: 659
DFT total energy, eV/atom: -4.05

Unit cell a=4.7179 b=4.7179 c=3.1774 alpha=90.00 beta=90.00 gamma=90.00
With the nearest neighbours (Å) after each atom.
Sites, in units of the cell vectors:
F  0.0000  0.5000  0.0000  2 S 2.36
F  0.5000  0.0000  0.0000  2 S 2.36
N  0.0000  0.0000  0.5000  2 S 1.59
S  0.0000  0.0000  0.0000  2 N 1.59
Ir  0.5000  0.5000  0.5000  8 F 2.84, 2 Ir 3.18



Entry from the Alexandria database: KZr2As after structural relaxation (PBE).

Results
Symmetry: No. 65
DFT total energy, eV/atom: -5.13

Unit cell a=5.9321 b=5.9321 c=3.0411 alpha=90.00 beta=90.00 gamma=116.63
With the nearest neighbours (Å) after each atom.
Sites, in units of the cell vectors:
K  0.0000  0.5000  0.5000  2 K 3.04, 2 As 3.12, 8 Zr 3.33
Zr  0.5000  0.5000  0.0000  4 Zr 3.04-3.12, 4 As 3.33, 4 K 3.33
Zr  0.0000  0.0000  0.0000  4 Zr 3.04-3.12, 4 K 3.33, 4 As 3.33
As  0.5000  0.0000  0.5000  2 As 3.04, 2 K 3.12, 8 Zr 3.33



Entry from the Alexandria database: La6CePm5 after structural relaxation (PBE).

Results
Symmetry: No. 71
DFT total energy, eV/atom: -4.90

Unit cell a=5.2279 b=10.3645 c=9.7406 alpha=122.14 beta=105.56 gamma=90.00
With the nearest neighbours (Å) after each atom.
Sites, in units of the cell vectors:
Pm  0.0000  0.5000  0.0000  8 La 3.66-3.71, 4 Pm 3.70
Pm  0.6631  0.1631  0.3262  8 La 3.61-3.75, 2 Ce 3.65, 2 Pm 3.72
Pm  0.3323  0.3323  0.6646  8 La 3.68-3.71, 4 Pm 3.70-3.72
Pm  0.6677  0.6677  0.3354  8 La 3.68-3.71, 4 Pm 3.70-3.72
Pm  0.3369  0.8369  0.6738  8 La 3.61-3.75, 2 Ce 3.65, 2 Pm 3.72
La  0.1644  0.4127  0.3287  1 Ce 3.64, 7 Pm 3.66-3.75, 4 La 3.67-3.74
La  0.8356  0.5873  0.6713  1 Ce 3.64, 7 Pm 3.66-3.75, 4 La 3.67-3.74
La  0.5001  0.2463  0.0000  6 Pm 3.61-3.71, 2 Ce 3.65, 4 La 3.67
La  0.1643  0.9160  0.3287  1 Ce 3.64, 7 Pm 3.66-3.75, 4 La 3.67-3.74
La  0.8357  0.0840  0.6713  1 Ce 3.64, 7 Pm 3.66-3.75, 4 La 3.67-3.74
La  0.4999  0.7537  0.0000  6 Pm 3.61-3.71, 2 Ce 3.65, 4 La 3.67
Ce  0.0000  0.0000  0.0000  8 La 3.64-3.65, 4 Pm 3.65



Entry from the Alexandria database: Pu2CoCl after structural relaxation (PBE).

Results
Formation energy without anion corrections, eV per atom: -0.495
Symmetry: No. 123
Energy above the lowest structure with this stoichiometry, meV per atom: 44
DFT total energy, eV/atom: -9.90

Unit cell a=3.2704 b=3.2704 c=7.7940 alpha=90.00 beta=90.00 gamma=90.00
With the nearest neighbours (Å) after each atom.
Sites, in units of the cell vectors:
Pu  0.0000  0.0000  0.2153  4 Co 2.86
Pu  0.0000  0.0000  0.7847  4 Co 2.86
Co  0.5000  0.5000  0.0000  8 Pu 2.86
Cl  0.5000  0.5000  0.5000  8 Pu 3.21, 4 Cl 3.27



Entry from the Alexandria database: CaNd7Y12 after structural relaxation (PBE).

Results
Symmetry: No. 229
DFT total energy, eV/atom: -5.05

Unit cell a=9.8822 b=9.8822 c=9.8822 alpha=109.47 beta=109.47 gamma=109.47
With the nearest neighbours (Å) after each atom.
Sites, in units of the cell vectors:
Y  0.5060  0.2527  0.2533  2 Nd 2.85
Y  0.2527  0.2533  0.5060  2 Nd 2.85
Y  0.7473  0.7467  0.4940  2 Nd 2.85
Y  0.0006  0.7473  0.2533  2 Nd 2.85
Y  0.2533  0.5060  0.2527  2 Nd 2.85
Y  0.2533  0.0006  0.7473  2 Nd 2.85
Y  0.9994  0.2527  0.7467  2 Nd 2.85
Y  0.7473  0.2533  0.0006  2 Nd 2.85
Y  0.7467  0.4940  0.7473  2 Nd 2.85
Y  0.7467  0.9994  0.2527  2 Nd 2.85
Y  0.2527  0.7467  0.9994  2 Nd 2.85
Y  0.4940  0.7473  0.7467  2 Nd 2.85
Nd  0.0000  0.5000  0.0000  6 Y 2.85
Nd  0.0000  0.0000  0.5000  6 Y 2.85
Nd  0.0000  0.5000  0.5000  12 Y 3.99-4.04
Nd  0.5000  0.5000  0.5000  6 Y 2.85
Nd  0.5000  0.0000  0.5000  12 Y 3.99-4.04
Nd  0.5000  0.0000  0.0000  6 Y 2.85
Nd  0.5000  0.5000  0.0000  12 Y 3.99-4.04
Ca  0.0000  0.0000  0.0000  12 Y 4.08



Entry from the Alexandria database: CaCo3Sb after structural relaxation (PBE).

Results
Formation energy without anion corrections, eV per atom: 1.635
Symmetry: No. 221
Energy above the lowest structure with this stoichiometry, meV per atom: 1011
DFT total energy, eV/atom: -3.85

Unit cell a=4.5596 b=4.5596 c=4.5596 alpha=90.00 beta=90.00 gamma=90.00
With the nearest neighbours (Å) after each atom.
Sites, in units of the cell vectors:
Co  0.0000  0.0000  0.5000  2 Ca 2.28
Co  0.5000  0.0000  0.0000  2 Ca 2.28
Co  0.0000  0.5000  0.0000  2 Ca 2.28
Sb  0.5000  0.5000  0.5000  12 Co 3.22
Ca  0.0000  0.0000  0.0000  6 Co 2.28



Entry from the Alexandria database: ErPuAs2 after structural relaxation (PBE).

Results
Symmetry: No. 166
Energy above the lowest structure with this stoichiometry, meV per atom: 0
DFT total energy, eV/atom: -8.32

Unit cell a=4.1172 b=4.1172 c=7.0803 alpha=73.10 beta=73.10 gamma=60.00
With the nearest neighbours (Å) after each atom.
Sites, in units of the cell vectors:
As  0.2501  0.2501  0.2498  3 Er 2.90, 3 Pu 2.90
As  0.7499  0.7499  0.7502  3 Er 2.90, 3 Pu 2.90
Er  0.0000  0.0000  0.0000  6 As 2.90
Pu  0.5000  0.5000  0.5000  6 As 2.90



Question: DFT total energy of number 5 (TlCrRe2)?
Answer: -8.54 eV/atom